The following is a PBE calculation of an optimized crystal structure of CdPbIO2, from the Alexandria database.

Formation energy without anion corrections in kcal/mol of atoms: -1.21
Calculated density in g/cm³: 6.84
Polymorph energy (0 for the lowest one) in eV/atom: 0.139

Unit cell a=4.4906 b=4.4906 c=5.7644 alpha=90.00 beta=90.00 gamma=90.00
Closest atoms and distances in Å follow each position.
Atoms (fractional coordinates):
1 Cd 0.0000 0.0000 0.0000  4 O 2.25
2 Pb 0.5000 0.5000 0.5000  4 I 3.18
3 I 0.0000 0.0000 0.5000  2 Cd 2.88, 4 Pb 3.18
4 O 0.0000 0.5000 0.0000  2 Cd 2.25
5 O 0.5000 0.0000 0.0000  2 Cd 2.25

The following is a PBE calculation of an optimized crystal structure of Na3Ag4Sb4, from the Alexandria database.

Formation energy without anion corrections in kcal/mol of atoms: -1.70
Calculated density in g/cm³: 5.77
Polymorph energy (0 for the lowest one) in eV/atom: 0.108

Unit cell a=9.4258 b=9.4258 c=9.4258 alpha=150.81 beta=135.60 gamma=54.02
Closest atoms and distances in Å follow each position.
Atoms (fractional coordinates):
1 Na 0.0000 0.0000 0.0000  6 Ag 3.19-3.46
2 Na 0.3808 0.8808 0.5000  4 Sb 3.19, 4 Ag 3.42
3 Na 0.6192 0.1192 0.5000  4 Sb 3.19, 4 Ag 3.42
4 Ag 0.2063 0.2063 0.0000  6 Sb 2.94-3.04
5 Ag 0.2993 0.5000 0.7993  2 Sb 2.72, 1 Ag 2.86
6 Ag 0.7007 0.5000 0.2007  2 Sb 2.72, 1 Ag 2.86
7 Ag 0.7937 0.7937 0.0000  6 Sb 2.94-3.04
8 Sb 0.0577 0.3416 0.7160  4 Ag 2.72-3.04
9 Sb 0.3744 0.6584 0.7160  4 Ag 2.72-3.04
10 Sb 0.6256 0.3416 0.2840  4 Ag 2.72-3.04
11 Sb 0.9423 0.6584 0.2840  4 Ag 2.72-3.04

The following is a PBE calculation of an optimized crystal structure of NpMn3C, from the Alexandria database.

Calculated density in g/cm³: 11.33
Calculated formation energy in kJ per mole of atoms: -1

Unit cell a=3.9295 b=3.9295 c=3.9295 alpha=90.00 beta=90.00 gamma=90.00
Closest atoms and distances in Å follow each position.
Atoms (fractional coordinates):
1 Np 0.0000 0.0000 0.0000  12 Mn 2.78
2 Mn 0.0000 0.5000 0.5000  2 C 1.96
3 Mn 0.5000 0.0000 0.5000  2 C 1.96
4 Mn 0.5000 0.5000 0.0000  2 C 1.96
5 C 0.5000 0.5000 0.5000  6 Mn 1.96

The following is a PBE calculation of an optimized crystal structure of CaEuSbPt, from the Alexandria database.

Formation energy without anion corrections in kcal/mol of atoms: -19.53
Calculated density in g/cm³: 8.25

Unit cell a=5.2515 b=5.2515 c=5.2515 alpha=60.00 beta=60.00 gamma=60.00
Closest atoms and distances in Å follow each position.
Atoms (fractional coordinates):
1 Ca 0.0000 0.0000 0.0000  4 Sb 3.22, 4 Pt 3.22
2 Eu 0.5000 0.5000 0.5000  4 Sb 3.22, 4 Pt 3.22
3 Sb 0.2500 0.2500 0.2500  4 Ca 3.22, 4 Eu 3.22
4 Pt 0.7500 0.7500 0.7500  4 Ca 3.22, 4 Eu 3.22

The following is a PBE calculation of an optimized crystal structure of CdTePd3, from the Alexandria database.

Formation energy without anion corrections in kcal/mol of atoms: 4.77
Calculated density in g/cm³: 7.65
Polymorph energy (0 for the lowest one) in eV/atom: 0.549

Unit cell a=4.9513 b=4.9513 c=4.9513 alpha=90.00 beta=90.00 gamma=90.00
Closest atoms and distances in Å follow each position.
Atoms (fractional coordinates):
1 Cd 0.0000 0.0000 0.0000  12 Pd 3.50
2 Te 0.5000 0.5000 0.5000  6 Pd 2.48
3 Pd 0.0000 0.5000 0.5000  2 Te 2.48
4 Pd 0.5000 0.0000 0.5000  2 Te 2.48
5 Pd 0.5000 0.5000 0.0000  2 Te 2.48

The following is a PBE calculation of an optimized crystal structure of CeMg4Bi3, from the Alexandria database.

Calculated density in g/cm³: 6.02
Calculated formation energy in kJ per mole of atoms: -13

Unit cell a=7.9281 b=7.9281 c=7.9281 alpha=128.96 beta=65.78 gamma=141.40
Closest atoms and distances in Å follow each position.
Atoms (fractional coordinates):
1 Ce 0.0000 0.0000 0.0000  4 Mg 3.27, 6 Bi 3.42-3.50
2 Mg 0.2965 0.0030 0.2935  2 Bi 3.07-3.08, 2 Mg 3.11
3 Mg 0.4998 0.2126 0.7128  3 Mg 2.91-3.11, 4 Bi 3.00-3.03
4 Mg 0.4998 0.7870 0.2872  3 Mg 2.91-3.11, 4 Bi 3.00-3.03
5 Mg 0.7095 0.0030 0.7065  2 Bi 3.07-3.08, 2 Mg 3.11
6 Bi 0.9998 0.4998 0.5000  4 Mg 3.00
7 Bi 0.3290 0.5020 0.8270  4 Mg 3.03-3.08
8 Bi 0.6750 0.5020 0.1730  4 Mg 3.03-3.08

The following is a PBE calculation of an optimized crystal structure of PrSmHo6, from the Alexandria database.

Calculated density in g/cm³: 8.08
Calculated formation energy in kJ per mole of atoms: 14
Polymorph energy (0 for the lowest one) in eV/atom: 0.000

Unit cell a=6.4553 b=6.4553 c=6.4553 alpha=96.60 beta=96.60 gamma=96.60
Closest atoms and distances in Å follow each position.
Atoms (fractional coordinates):
1 Pr 0.0000 0.0000 0.0000  12 Ho 3.51-3.76
2 Sm 0.5000 0.5000 0.5000  12 Ho 3.50-3.76
3 Ho 0.0453 0.4545 0.7489  4 Ho 3.33-3.36, 1 Sm 3.50, 1 Pr 3.51
4 Ho 0.2511 0.9547 0.5455  4 Ho 3.33-3.36, 1 Sm 3.50, 1 Pr 3.51
5 Ho 0.4545 0.7489 0.0453  4 Ho 3.33-3.36, 1 Sm 3.50, 1 Pr 3.51
6 Ho 0.5455 0.2511 0.9547  4 Ho 3.33-3.36, 1 Sm 3.50, 1 Pr 3.51
7 Ho 0.7489 0.0453 0.4545  4 Ho 3.33-3.36, 1 Sm 3.50, 1 Pr 3.51
8 Ho 0.9547 0.5455 0.2511  4 Ho 3.33-3.36, 1 Sm 3.50, 1 Pr 3.51

The following is a PBE calculation of an optimized crystal structure of SbAsS2Cl, from the Alexandria database.

Formation energy without anion corrections in kcal/mol of atoms: 6.48
Calculated density in g/cm³: 4.32
Polymorph energy (0 for the lowest one) in eV/atom: 0.000

Unit cell a=4.8861 b=4.8861 c=4.7677 alpha=90.00 beta=90.00 gamma=90.00
Closest atoms and distances in Å follow each position.
Atoms (fractional coordinates):
1 Sb 0.0000 0.0000 0.0000  8 S 3.41, 4 Cl 3.45
2 As 0.5000 0.5000 0.5000  2 Cl 2.38, 4 S 2.44
3 S 0.0000 0.5000 0.5000  2 As 2.44
4 S 0.5000 0.0000 0.5000  2 As 2.44
5 Cl 0.5000 0.5000 0.0000  2 As 2.38

Here are the calculated D(E_F) numbers, same order: 0.485; 0.422; 1.200; 3.045; 0.010; 1.215; 1.628; 0.874 (states/eV/atom).